Here is crystalline Pm3Sn2 at its relaxed geometry from Alexandria. Energies are from GGA-PBE.

Lattice parameters (Å, degrees): 9.2179 9.2179 9.2179 154.22 154.22 36.78
Closest atoms and distances in Å follow each position.
Sites, in units of the cell vectors:
Pm1 0.0000 0.0000 0.0000  2 Pm 3.34, 8 Sn 3.45
Pm2 0.1909 0.1909 0.0000  5 Sn 3.27-3.55, 5 Pm 3.34-3.57
Pm3 0.8091 0.8091 0.0000  5 Sn 3.27-3.55, 5 Pm 3.34-3.57
Sn1 0.3940 0.3940 0.0000  9 Pm 3.27-3.55
Sn2 0.6060 0.6060 0.0000  9 Pm 3.27-3.55

## Properties
**Magnetic moment**: 1.22 Bohr magnetons per cell
**Space-group type**: I4/mmm (139)
**V**: 29.59 A^3/atom
**Final energy**: -4.98 eV/atom
**Energy above the lowest structure with this stoichiometry**: 53.4 meV/atom